Record 1
Below is crystalline BaCu2Pt at its relaxed geometry, with properties calculated at the PBE-GGA level.

Properties
As for the formation energy: 0.0365 eV per atom. For the total DFT energy (no corrections), the calculation gives -4.003 eV per atom. The energy above the most stable polymorph in this dataset comes out at 367 meV per atom. The density of states at the Fermi level is 1.88 states/eV per cell. As for the space group: No. 25.

Cell: 3.429 3.280 7.143 Å, 90.00 90.00 90.00°
Fractional positions:
Ba: 0.500 0.500 0.744
Pt: 0.000 0.000 0.431
Cu: 0.500 0.500 0.246
Cu: 0.000 0.000 0.080

Record 2
Below is crystalline BaCu3Pt at its relaxed geometry, with properties calculated at the PBE-GGA level.

Properties
As for the formation energy: 0.0154 eV per atom. For the total DFT energy (no corrections), the calculation gives -4.035 eV per atom. The energy above the most stable polymorph in this dataset comes out at 0 meV per atom. The density of states at the Fermi level is 1.43 states/eV per cell. As for the space group: No. 221.

Cell: 4.865 4.865 4.865 Å, 90.00 90.00 90.00°
Fractional positions:
Pt: 0.000 0.000 0.000
Cu: 0.000 0.500 0.000
Cu: 0.500 0.000 0.000
Ba: 0.500 0.500 0.500
Cu: 0.000 0.000 0.500

Record 3
Below is crystalline BaCu3Pt at its relaxed geometry, with properties calculated at the PBE-GGA level.

Properties
As for the formation energy: 1.8773 eV per atom. For the total DFT energy (no corrections), the calculation gives -2.173 eV per atom. The energy above the most stable polymorph in this dataset comes out at 1862 meV per atom. The density of states at the Fermi level is 11.43 states/eV per cell. As for the space group: No. 221.

Cell: 5.192 5.192 5.192 Å, 90.00 90.00 90.00°
Fractional positions:
Pt: 0.500 0.500 0.500
Ba: 0.000 0.000 0.000
Cu: 0.500 0.000 0.000
Cu: 0.000 0.000 0.500
Cu: 0.000 0.500 0.000

Record 4
Below is crystalline Ba4CuPt at its relaxed geometry, with properties calculated at the PBE-GGA level.

Properties
As for the formation energy: -0.3106 eV per atom. For the total DFT energy (no corrections), the calculation gives -3.282 eV per atom. The energy above the most stable polymorph in this dataset comes out at 0 meV per atom. The density of states at the Fermi level is 4.72 states/eV per cell. As for the space group: No. 10.

Cell: 4.681 7.978 8.126 Å, 109.67 90.00 90.00°
Fractional positions:
Cu: 0.500 0.500 0.000
Ba: 0.000 0.271 0.748
Pt: 0.000 0.500 0.500
Ba: 0.500 0.730 0.733
Ba: 0.500 0.270 0.267
Ba: 0.000 0.729 0.252

Record 5
Below is crystalline BaCu2Pt at its relaxed geometry, with properties calculated at the PBE-GGA level.

Properties
As for the formation energy: 0.2563 eV per atom. For the total DFT energy (no corrections), the calculation gives -3.783 eV per atom. The energy above the most stable polymorph in this dataset comes out at 587 meV per atom. The density of states at the Fermi level is 0.86 states/eV per cell. As for the space group: No. 216.

Cell: 4.967 4.967 4.967 Å, 60.00 60.00 60.00°
Fractional positions:
Cu: 0.250 0.250 0.250
Ba: 0.500 0.500 0.500
Cu: 0.000 0.000 0.000
Pt: 0.750 0.750 0.750

Record 6
Below is crystalline BaCu2Pt at its relaxed geometry, with properties calculated at the PBE-GGA level.

Properties
As for the formation energy: 0.1471 eV per atom. For the total DFT energy (no corrections), the calculation gives -3.892 eV per atom. The energy above the most stable polymorph in this dataset comes out at 478 meV per atom. The density of states at the Fermi level is 2.13 states/eV per cell. As for the space group: No. 225.

Cell: 4.874 4.874 4.874 Å, 60.00 60.00 60.00°
Fractional positions:
Pt: 0.500 0.500 0.500
Ba: 0.000 0.000 0.000
Cu: 0.250 0.250 0.250
Cu: 0.750 0.750 0.750

Record 7
Below is crystalline BaCuPt4 at its relaxed geometry, with properties calculated at the PBE-GGA level.

Properties
As for the formation energy: -0.2456 eV per atom. For the total DFT energy (no corrections), the calculation gives -5.276 eV per atom. The density of states at the Fermi level is 3.55 states/eV per cell. As for the space group: No. 216.

Cell: 5.486 5.486 5.486 Å, 60.00 60.00 60.00°
Fractional positions:
Ba: 0.750 0.750 0.750
Cu: 0.000 0.000 0.000
Pt: 0.374 0.374 0.877
Pt: 0.877 0.374 0.374
Pt: 0.374 0.374 0.374
Pt: 0.374 0.877 0.374

Record 8
Below is crystalline Ba8CuPt2 at its relaxed geometry, with properties calculated at the PBE-GGA level.

Properties
As for the formation energy: -0.1838 eV per atom. For the total DFT energy (no corrections), the calculation gives -3.053 eV per atom. The density of states at the Fermi level is 10.46 states/eV per cell. As for the space group: No. 12.

Cell: 6.725 10.052 10.048 Å, 120.06 89.99 90.00°
Fractional positions:
Ba: 0.248 0.161 0.840
Ba: 0.752 0.839 0.160
Ba: 0.248 0.160 0.321
Ba: 0.752 0.321 0.161
Pt: 0.240 0.333 0.667
Ba: 0.746 0.333 0.667
Ba: 0.752 0.840 0.679
Ba: 0.248 0.679 0.839
Cu: 0.000 0.000 0.000
Pt: 0.760 0.667 0.333
Ba: 0.254 0.667 0.333

- What is the formation energy in the eighth record?
  -0.1838 eV per atom